## La6Pm12Y (GGA-PBE)

Data for La6Pm12Y after structural relaxation.

Unit cell a=8.774 b=8.774 c=8.774 alpha=89.72 beta=89.72 gamma=89.72
Element x y z (fractional)
La 0.198 0.594 0.766
La 0.234 0.802 0.406
La 0.406 0.234 0.802
La 0.594 0.766 0.198
La 0.766 0.198 0.594
La 0.802 0.406 0.234
Pm 0.033 0.280 0.937
Pm 0.063 0.967 0.720
Pm 0.138 0.313 0.479
Pm 0.280 0.937 0.033
Pm 0.313 0.479 0.138
Pm 0.479 0.138 0.313
Pm 0.521 0.862 0.687
Pm 0.687 0.521 0.862
Pm 0.720 0.063 0.967
Pm 0.862 0.687 0.521
Pm 0.937 0.033 0.280
Pm 0.967 0.720 0.063
Y 0.500 0.500 0.500

Results
- mass density (Mg/m³) = 6.5
- space group = R-3
- ΔH_f (0 K) (eV per atom) = 0.122
- relative energy among the computed polymorphs (meV/atom) = 0